<i>
Density functional theory data (PBE) for an optimized crystal structure of YBe2Os.

Unit cell a=6.115 b=6.115 c=6.115 alpha=90.00 beta=90.00 gamma=90.00
Element x y z (fractional)
Y 0.000 0.000 0.000
Y 0.000 0.500 0.500
Y 0.500 0.000 0.500
Y 0.500 0.500 0.000
Be 0.250 0.250 0.250
Be 0.250 0.250 0.750
Be 0.250 0.750 0.250
Be 0.250 0.750 0.750
Be 0.750 0.250 0.250
Be 0.750 0.250 0.750
Be 0.750 0.750 0.250
Be 0.750 0.750 0.750
Os 0.000 0.000 0.500
Os 0.000 0.500 0.000
Os 0.500 0.000 0.000
Os 0.500 0.500 0.500

Values from the calculation:
crystal system	cubic
SG	Fm-3m, No. 225

---

<ii>
Density functional theory data (PBE) for an optimized crystal structure of YBe2Os.

Unit cell a=7.733 b=3.425 c=4.980 alpha=90.00 beta=108.74 gamma=90.00
Element x y z (fractional)
Y 0.000 0.000 0.000
Y 0.500 0.500 0.000
Be 0.216 0.000 0.593
Be 0.284 0.500 0.407
Be 0.716 0.500 0.593
Be 0.784 0.000 0.407
Os 0.000 0.500 0.500
Os 0.500 0.000 0.500

Values from the calculation:
crystal system	monoclinic
SG	C2/m, No. 12

---

Most stable one: <ii>, least stable one: <i>.